The following is a PBE with a Hubbard U calculation of an optimized crystal structure of Ba3Ta2CoO9, from Alexandria via LeMat-Bulk.

Summary:
Calculated volume = 212 Å³ per cell
Crystal system = trigonal
E = -8.043 eV/atom

a b c (Å): 5.8368 5.8368 7.1915
angles (deg): 90.00 90.00 120.00
Closest atoms and distances in Å follow each position.
Element x y z (fractional)
Ba 0.0000 0.0000 0.0000  12 O 2.91-2.92
Ba 0.3333 0.6667 0.6616  12 O 2.92-2.96
Ba 0.6667 0.3333 0.3384  12 O 2.92-2.96
Ta 0.3333 0.6667 0.1754  6 O 1.95-2.10
Ta 0.6667 0.3333 0.8246  6 O 1.95-2.10
Co 0.0000 0.0000 0.5000  6 O 2.15
O 0.1723 0.8277 0.3236  1 Ta 1.95, 1 Co 2.15
O 0.8277 0.1723 0.6764  1 Ta 1.95, 1 Co 2.15
O 0.1723 0.3445 0.3236  1 Ta 1.95, 1 Co 2.15
O 0.8277 0.6555 0.6764  1 Ta 1.95, 1 Co 2.15
O 0.6555 0.8277 0.3236  1 Ta 1.95, 1 Co 2.15
O 0.3445 0.1723 0.6764  1 Ta 1.95, 1 Co 2.15
O 0.5000 0.0000 0.0000  2 Ta 2.10
O 0.0000 0.5000 0.0000  2 Ta 2.10
O 0.5000 0.5000 0.0000  2 Ta 2.10